A relaxed Li2LaTlW crystal. Source: the Alexandria database, functional PBE.

```
data_Li2LaTlW
_chemical_formula_sum 'Li2 La1 Tl1 W1'
_cell_length_a 4.807
_cell_length_b 4.807
_cell_length_c 6.163
_cell_angle_alpha 90.00
_cell_angle_beta 90.00
_cell_angle_gamma 90.00
_space_group_name_H-M_alt 'P 4/m m m'
_space_group_IT_number 123
_space_group_name_Hall '-P 4 2'
loop_
_atom_site_label
_atom_site_type_symbol
_atom_site_fract_x
_atom_site_fract_y
_atom_site_fract_z
Li1 Li 0.000 0.500 0.000
La1 La 0.000 0.000 0.500
Tl1 Tl 0.000 0.000 0.000
W1 W 0.500 0.500 0.500
```

Summary:
Fermi-level density of states   0.7738 states/eV/atom
Calculated formation energy   1.151 eV/atom